Record 1
SnTe2PN: optimized geometry, GGA-PBE.

Output
The value obtained for the calculated volume is 130 Å³/cell. Its uncorrected formation energy is 1.162 eV per atom.

abc: 5.770 5.770 3.905
angles: 90.00 90.00 90.00
Last column: magnetic moment on the atom in μB.
Sites, in units of the cell vectors:
Sn 0.000 0.000 0.000  -0.03
Te 0.500 0.000 0.000  0.05
N 0.000 0.000 0.500  0.27
P 0.500 0.500 0.500  -0.08
Te 0.000 0.500 0.000  0.05

=====

Record 2
Na4In2Hg3: optimized geometry, GGA-PBE.

Output
For the energy of formation from the pure elements, the calculation gives -132 kJ/mol of formula units. The value obtained for the calculated volume is 503 Å³/cell.

abc: 10.240 6.493 9.166
angles: 110.74 116.10 90.00
Sites, in units of the cell vectors:
Hg 0.296 0.197 0.333
Na 0.155 0.361 0.610
Hg 0.750 0.639 0.000
In 0.539 0.391 0.289
Na 0.463 0.816 0.101
Na 0.345 0.750 0.390
Hg 0.250 0.361 0.000
Na 0.655 0.250 0.610
In 0.039 0.898 0.289
Na 0.845 0.639 0.390
Hg 0.204 0.865 0.667
Na 0.537 0.184 0.899
Hg 0.796 0.135 0.333
Na 0.037 0.716 0.899
Hg 0.704 0.803 0.667
Na 0.963 0.284 0.101
In 0.961 0.102 0.711
In 0.461 0.609 0.711

=====

Record 3
Be2SiTe: optimized geometry, GGA-PBE.

Output
The value obtained for the calculated volume is 74 Å³/cell. Its uncorrected formation energy is 0.282 eV per atom.

abc: 3.752 4.002 5.498
angles: 64.23 90.00 90.00
Sites, in units of the cell vectors:
Te 0.500 0.962 0.830
Si 0.000 0.321 0.363
Be 0.500 0.285 0.123
Be 0.000 0.931 0.183

=====

Record 4
Pa2As3Pd2: optimized geometry, GGA-PBE.

Output
For the energy of formation from the pure elements, the calculation gives -501 kJ/mol of formula units. The value obtained for the calculated volume is 295 Å³/cell.

abc: 7.457 7.984 6.879
angles: 90.00 46.17 90.00
Sites, in units of the cell vectors:
As 0.384 0.895 0.251
Pd 0.421 0.627 0.425
As 0.116 0.395 0.749
Pd 0.079 0.127 0.575
Pa 0.122 0.267 0.166
As 0.000 0.000 0.000
As 0.884 0.605 0.251
Pa 0.378 0.767 0.834
As 0.500 0.500 0.000
As 0.616 0.105 0.749
Pa 0.878 0.733 0.834
Pd 0.921 0.873 0.425
Pa 0.622 0.233 0.166
Pd 0.579 0.373 0.575